A plane-wave DFT calculation with GGA-PBE was carried out for an optimized crystal structure of MoRhC3.

## Properties
DFT total energy   -6.685 eV/atom
DFT formation energy   2.486 eV/atom

a = 3.904 Å, b = 3.904 Å, c = 3.904 Å
α = 90.00°, β = 90.00°, γ = 90.00°
Space group Pm-3m (No. 221)
Inequivalent atoms, fractional coordinates:
Mo 0.000 0.000 0.000
Rh 0.500 0.500 0.500
C 0.000 0.500 0.500